CoGePO2 after structural relaxation. Source: Alexandria, functional PBE with a Hubbard U.

Cell lengths 3.5901, 3.5901, 5.4346 Å; angles 90.00, 90.00, 90.00 degrees
With the nearest neighbours (Å) after each atom.
Fractional coordinates of all 5 atoms:
O  0.0000  0.5000  0.0000  2 Ge 1.80
Ge  0.0000  0.0000  0.0000  4 O 1.80
P  0.0000  0.0000  0.5000  4 Co 2.54, 2 Ge 2.72
O  0.5000  0.0000  0.0000  2 Ge 1.80
Co  0.5000  0.5000  0.5000  4 P 2.54

## Properties
The magnetization is 2.66 μB/cell. The calculation puts the total energy at -5.175 eV/atom. For the energy above the most stable polymorph in this dataset, the calculation gives 0.00 eV/f.u.